## MnP3O (GGA+U)

Data for a relaxed MnP3O crystal.

Values from the calculation:
**Distance to the lowest polymorph of the same formula**: 0 meV per atom
**N(E_F)**: 3.07 states/eV/cell

Cell and atoms, written as POSCAR:
```
MnP3O
1.0
4.193 0.000 0.000
0.000 4.193 0.000
0.000 0.000 4.193
Mn P O
1 3 1
direct
0.000 0.000 0.000
0.000 0.500 0.500
0.500 0.000 0.500
0.500 0.500 0.000
0.500 0.500 0.500
```